4
Lattice="-2.3605 1.4472 0.1385 0.1443 -2.7622 3.5768 3.7157 5.7384 3.3666" Properties=species:S:1:pos:R:3 comment="KCdIr2 meta-GGA SCAN PBEsol geometry" formation_energy_mev_per_atom=252 pbc="T T T"
Cd -0.9929 0.8108 2.3520
Ir 3.4891 5.3873 3.1733
Ir 2.6180 3.8135 4.7729
K 0.7786 3.7431 1.9029

=====

4
Lattice="-3.0975 1.0493 0.3284 -1.4305 -3.7978 -1.3578 -0.0540 -1.4225 4.0356" Properties=species:S:1:pos:R:3 comment="TaBeAs2 meta-GGA SCAN PBEsol geometry" formation_energy_mev_per_atom=198 pbc="T T T"
Be -2.2910 -2.0855 1.5031
As -0.0270 -0.7112 2.0178
As -0.7152 -1.8989 -0.6789
Ta -1.5487 0.5247 0.1642

=====

4
Lattice="4.4151 0.0000 0.0000 2.2075 3.8235 0.0000 2.2075 1.2745 3.6049" Properties=species:S:1:pos:R:3 comment="CdGaRe2 meta-GGA SCAN PBEsol geometry" formation_energy_mev_per_atom=859 pbc="T T T"
Re 2.2075 1.2745 0.9012
Re 6.6226 3.8235 2.7037
Ga 0.0000 0.0000 0.0000
Cd 4.4151 2.5490 1.8024

=====

4
Lattice="3.0296 0.0000 0.0000 0.0000 3.7578 0.0000 0.0000 0.0000 8.1520" Properties=species:S:1:pos:R:3 comment="KRuSe2 meta-GGA SCAN PBEsol geometry" raw_formation_energy_mev_per_atom=-188 pbc="T T T"
K 0.0000 0.0000 3.8664
Ru 1.5148 1.8789 7.6761
Se 0.0000 0.0000 6.9608
Se 1.5148 1.8789 1.8768

=====

4
Lattice="3.8896 0.0000 0.0000 0.0000 3.8896 0.0000 0.0000 0.0000 4.4058" Properties=species:S:1:pos:R:3 comment="KCoSi2 meta-GGA SCAN PBEsol geometry" raw_formation_energy_mev_per_atom=1058 de_polymorph_mev_per_atom=1024 pbc="T T T"
Co 1.9448 1.9448 2.2029
K 0.0000 0.0000 2.2029
Si 0.0000 1.9448 0.0000
Si 1.9448 0.0000 0.0000

=====

12
Lattice="-3.0192 -3.6139 -2.6155 4.1950 -3.3743 -0.1802 -2.7620 -3.8910 8.5647" Properties=species:S:1:pos:R:3 comment="AlCuCl4 meta-GGA SCAN PBEsol geometry" raw_formation_energy_mev_per_atom=-1321 pbc="T T T"
Al 1.4070 -2.6599 2.0511
Al -3.5811 -4.7252 5.1158
Cu -1.3810 -1.9455 4.2823
Cu 0.0000 0.0000 0.0000
Cl -0.6188 -3.2192 2.5366
Cl -0.2720 -6.6803 1.0760
Cl 0.6608 -5.9837 4.5190
Cl -2.9424 -5.8752 3.4064
Cl -1.5232 -4.1565 -0.9667
Cl 2.0036 -3.8113 0.3275
Cl -1.4188 -8.6181 5.4374
Cl -2.2340 -5.1725 6.7399

=====

8
Lattice="4.1272 0.0000 0.0000 0.0000 4.1272 0.0000 -2.0636 -2.0636 5.6592" Properties=species:S:1:pos:R:3 comment="NbOsN2 meta-GGA SCAN PBEsol geometry" raw_formation_energy_mev_per_atom=-119 pbc="T T T"
Nb 2.0636 0.0000 2.8296
Nb 2.0636 2.0636 0.0000
Os 0.0000 2.0636 2.8296
Os 0.0000 0.0000 0.0000
N 0.9697 3.0954 1.4148
N 3.1575 1.0318 1.4148
N -1.0318 -1.0939 4.2444
N 1.0318 1.0939 4.2444

=====

4
Lattice="3.7549 0.0000 0.0000 0.0000 4.8412 0.0405 0.0000 -1.4576 4.6168" Properties=species:S:1:pos:R:3 comment="Cd2AsSe meta-GGA SCAN PBEsol geometry" raw_formation_energy_mev_per_atom=88 de_polymorph_mev_per_atom=77 pbc="T T T"
As 1.8774 1.6918 2.3287
Se 1.8774 0.0000 0.0000
Cd 0.0000 2.4206 0.0203
Cd 0.0000 -0.7288 2.3084

=====

5
Lattice="4.8775 0.0000 0.0000 0.0000 5.0641 0.0000 0.0000 0.0000 5.0641" Properties=species:S:1:pos:R:3 comment="Y2HfZnTc meta-GGA SCAN PBEsol geometry" formation_energy_mev_per_atom=913 pbc="T T T"
Y 0.0000 0.0000 2.5320
Y 0.0000 2.5320 0.0000
Zn 0.0000 0.0000 0.0000
Hf 2.4388 0.0000 0.0000
Tc 2.4388 2.5320 2.5320

=====

3
Lattice="4.1525 0.0000 0.0000 2.0762 3.5961 0.0000 2.0762 1.1987 3.3905" Properties=species:S:1:pos:R:3 comment="CoOsAu meta-GGA SCAN PBEsol geometry" de_polymorph_mev_per_atom=270 formation_energy_mev_per_atom=963 pbc="T T T"
Os 2.0762 1.1987 0.8476
Au 0.0000 0.0000 0.0000
Co 4.1525 2.3974 1.6952

=====

4
Lattice="4.2849 0.0000 0.0000 2.1425 3.7108 0.0000 2.1425 1.2369 3.4986" Properties=species:S:1:pos:R:3 comment="AlSi2Ir meta-GGA SCAN PBEsol geometry" raw_formation_energy_mev_per_atom=-99 pbc="T T T"
Si 0.0000 0.0000 0.0000
Si 6.4274 3.7108 2.6240
Ir 2.1425 1.2369 0.8747
Al 4.2849 2.4739 1.7493

=====

5
Lattice="-1.1464 -4.8510 -0.0977 3.4784 -0.8916 3.4586 -3.3828 0.7272 3.5895" Properties=species:S:1:pos:R:3 comment="MgSnSe3 meta-GGA SCAN PBEsol geometry" raw_formation_energy_mev_per_atom=-95 de_polymorph_mev_per_atom=0 pbc="T T T"
Mg 0.0000 0.0000 0.0000
Sn -0.5254 -2.5078 3.4753
Se 1.7392 -0.4458 1.7293
Se -1.6914 0.3636 1.7948
Se -0.5732 -2.4255 -0.0488

=====

5
Lattice="5.5424 0.0000 0.0000 0.0000 5.5424 0.0000 0.0000 0.0000 5.5424" Properties=species:S:1:pos:R:3 comment="K3NiC meta-GGA SCAN PBEsol geometry" formation_energy_mev_per_atom=1291 pbc="T T T"
Ni 2.7712 2.7712 2.7712
K 0.0000 2.7712 0.0000
K 0.0000 0.0000 2.7712
K 2.7712 0.0000 0.0000
C 0.0000 0.0000 0.0000

=====

34
Lattice="-5.9945 5.3560 -1.6506 -1.6100 2.0902 -7.7707 -7.2804 -2.9790 -3.6261" Properties=species:S:1:pos:R:3 comment="Mn3NbP6O24 meta-GGA SCAN PBEsol geometry" raw_formation_energy_mev_per_atom=-2300 pbc="T T T"
P -10.7709 2.7264 -7.5397
P -6.9279 -0.5140 -8.6543
P -8.3104 0.2516 -3.7539
P -6.4530 4.0856 -9.2721
P -8.0130 5.0220 -4.5584
P -4.2129 1.7917 -5.3671
Nb -9.5662 5.1887 -9.6220
Mn -5.2649 -0.6596 -3.4198
Mn -9.5422 -0.1826 -6.7386
Mn -5.3227 4.6730 -6.3067
O -2.8474 2.0260 -4.6780
O -3.9940 2.8280 -2.4916
O -11.1757 3.1706 -6.1346
O -2.0413 1.1213 -2.3824
O -9.8347 1.5087 -7.4722
O -9.9672 3.8507 -8.2232
O -7.4554 0.2687 -9.8562
O -7.8050 -0.2599 -7.4174
O -8.9582 0.5377 -5.1186
O -6.9228 2.7584 -9.8800
O -7.7005 4.9802 -9.0848
O -9.4206 4.4804 -4.8357
O -5.5161 -0.0112 -8.2922
O -7.0566 -0.6055 -3.9242
O -7.9207 1.6224 -3.1658
O -5.7966 3.8020 -7.9200
O -7.1418 4.7819 -5.7925
O -7.4467 4.2491 -3.3444
O -4.9816 0.6155 -4.7527
O -5.1385 3.0081 -5.4235
O -12.8338 3.3582 -10.7399
O -3.7872 1.3759 -6.7945
O -10.8357 1.6020 -10.5177
O -12.0816 2.4901 -8.3303

=====

5
Lattice="-2.9969 0.0964 -3.5286 -3.0624 -2.3733 2.5360 -2.3046 5.2177 2.0999" Properties=species:S:1:pos:R:3 comment="KSiAs2S meta-GGA SCAN PBEsol geometry" raw_formation_energy_mev_per_atom=519 pbc="T T T"
S -4.1819 1.4704 0.5536
As -1.5312 -1.1866 1.2680
As -1.4984 0.0482 -1.7643
Si 0.0000 0.0000 0.0000
K -1.1523 2.6088 1.0499

=====

3
Lattice="4.2413 0.0000 0.0000 -2.1206 3.6731 0.0000 0.0000 0.0000 5.2634" Properties=species:S:1:pos:R:3 comment="Tl2As meta-GGA SCAN PBEsol geometry" de_polymorph_mev_per_atom=3 formation_energy_mev_per_atom=46 pbc="T T T"
Tl 0.0000 2.4487 1.5144
Tl 2.1206 1.2243 3.7489
As 0.0000 0.0000 0.0000

=====

4
Lattice="4.0820 0.0000 0.0000 0.0000 4.0820 0.0000 0.0000 0.0000 4.0820" Properties=species:S:1:pos:R:3 comment="CePd3 meta-GGA SCAN PBEsol geometry" formation_energy_mev_per_atom=-835 pbc="T T T"
Ce 0.0000 0.0000 0.0000
Pd 0.0000 2.0410 2.0410
Pd 2.0410 2.0410 0.0000
Pd 2.0410 0.0000 2.0410

=====

5
Lattice="-6.2413 2.8163 0.8586 -0.9330 -3.8004 5.6841 2.7926 5.0248 3.8179" Properties=species:S:1:pos:R:3 comment="CsKCa3 meta-GGA SCAN PBEsol geometry" de_polymorph_mev_per_atom=0 formation_energy_mev_per_atom=641 pbc="T T T"
Cs -2.1909 2.0203 5.1803
Ca -0.4665 -1.9002 2.8421
Ca 1.3963 2.5124 1.9090
Ca -3.1207 1.4082 0.4293
K 0.0000 0.0000 0.0000

=====

4
Lattice="-2.6607 0.2866 -2.8701 0.1012 -3.8930 -0.4826 -1.5538 1.4087 4.2638" Properties=species:S:1:pos:R:3 comment="SbOsRu2 meta-GGA SCAN PBEsol geometry" raw_formation_energy_mev_per_atom=269 pbc="T T T"
Os 0.0000 0.0000 0.0000
Ru -2.7471 -0.0539 -0.1413
Ru -1.3662 -2.1437 1.0524
Sb -1.2797 -1.8032 -1.6763

=====

10
Lattice="4.0521 0.0000 0.0000 0.0000 6.6025 0.0000 0.0000 0.0000 6.6025" Properties=species:S:1:pos:R:3 comment="Sc2Zn2Ga meta-GGA SCAN PBEsol geometry" formation_energy_mev_per_atom=-514 pbc="T T T"
Sc 2.0260 1.1255 4.4268
Sc 2.0260 4.4268 5.4770
Sc 2.0260 5.4770 2.1757
Sc 2.0260 2.1757 1.1255
Zn 0.0000 2.4424 5.7437
Zn 0.0000 5.7437 4.1601
Zn 0.0000 4.1601 0.8588
Zn 0.0000 0.8588 2.4424
Ga 0.0000 0.0000 0.0000
Ga 0.0000 3.3012 3.3012

=====

no.,total magnetization (μB per atom)
1,0.0000
2,0.0000
3,0.0001
4,0.0002
5,0.4411
6,0.0156
7,0.0000
8,0.0000
9,0.4619
10,1.2878
11,0.0000
12,0.0001
13,0.5995
14,0.3022
15,0.0005
16,0.0022
17,0.0781
18,0.1094
19,0.0000
20,0.0000